Record 1
VASP calculation (PBE) on a relaxed structure of Sr2TlZn3Sn4.

a = 4.8215 Å, b = 4.8215 Å, c = 11.5887 Å
α = 90.00°, β = 90.00°, γ = 90.00°
With the nearest neighbours (Å) after each atom.
Sites, in units of the cell vectors:
Sr  0.0000  0.5000  0.2449  8 Sn 3.65-3.72, 6 Zn 3.67-3.81, 2 Tl 3.81
Sr  0.5000  0.0000  0.7551  8 Sn 3.65-3.72, 6 Zn 3.67-3.81, 2 Tl 3.81
Tl  0.0000  0.0000  0.5000  4 Sn 2.93
Zn  0.0000  0.5000  0.8719  5 Sn 2.64-2.83
Zn  0.5000  0.0000  0.1281  5 Sn 2.64-2.83
Zn  0.5000  0.5000  0.5000  4 Sn 2.93
Sn  0.0000  0.0000  0.0000  4 Zn 2.83
Sn  0.0000  0.5000  0.6438  3 Zn 2.64-2.93, 2 Tl 2.93
Sn  0.5000  0.0000  0.3562  3 Zn 2.64-2.93, 2 Tl 2.93
Sn  0.5000  0.5000  0.0000  4 Zn 2.83

Properties
Total magnetic moment   0.0000 μB/atom
Calculated density   6.476 g/cm³
Energy of formation from the pure elements   -0.28 eV/atom


Record 2
VASP calculation (PBE) on a relaxed structure of SrTlZnSn.

a = 7.6403 Å, b = 7.6403 Å, c = 7.6403 Å
α = 90.00°, β = 90.00°, γ = 90.00°
With the nearest neighbours (Å) after each atom.
Sites, in units of the cell vectors:
Sr  0.0000  0.0000  0.0000  4 Tl 3.31, 4 Zn 3.31
Sr  0.0000  0.5000  0.5000  4 Tl 3.31, 4 Zn 3.31
Sr  0.5000  0.0000  0.5000  4 Tl 3.31, 4 Zn 3.31
Sr  0.5000  0.5000  0.0000  4 Tl 3.31, 4 Zn 3.31
Tl  0.2500  0.2500  0.2500  4 Sn 3.31, 4 Sr 3.31
Tl  0.2500  0.7500  0.7500  4 Sn 3.31, 4 Sr 3.31
Tl  0.7500  0.2500  0.7500  4 Sn 3.31, 4 Sr 3.31
Tl  0.7500  0.7500  0.2500  4 Sn 3.31, 4 Sr 3.31
Zn  0.2500  0.2500  0.7500  4 Sn 3.31, 4 Sr 3.31
Zn  0.2500  0.7500  0.2500  4 Sn 3.31, 4 Sr 3.31
Zn  0.7500  0.2500  0.2500  4 Sn 3.31, 4 Sr 3.31
Zn  0.7500  0.7500  0.7500  4 Sn 3.31, 4 Sr 3.31
Sn  0.0000  0.0000  0.5000  4 Tl 3.31, 4 Zn 3.31
Sn  0.0000  0.5000  0.0000  4 Tl 3.31, 4 Zn 3.31
Sn  0.5000  0.0000  0.0000  4 Tl 3.31, 4 Zn 3.31
Sn  0.5000  0.5000  0.5000  4 Tl 3.31, 4 Zn 3.31

Properties
Total magnetic moment   0.0000 μB/atom
Calculated density   7.091 g/cm³
Energy of formation from the pure elements   -0.18 eV/atom


Record 3
VASP calculation (PBE) on a relaxed structure of SrTmSn2.

a = 4.0196 Å, b = 4.0196 Å, c = 7.3630 Å
α = 90.00°, β = 90.00°, γ = 90.00°
With the nearest neighbours (Å) after each atom.
Sites, in units of the cell vectors:
Sr  0.0000  0.0000  0.0000  8 Sn 3.55, 2 Tm 3.68
Tm  0.0000  0.0000  0.5000  8 Sn 3.24
Sn  0.5000  0.5000  0.2898  1 Sn 3.10, 4 Tm 3.24
Sn  0.5000  0.5000  0.7102  1 Sn 3.10, 4 Tm 3.24

Properties
Total magnetic moment   0.0000 μB/atom
Calculated density   6.895 g/cm³
Energy of formation from the pure elements   -0.57 eV/atom


Record 4
VASP calculation (PBE) on a relaxed structure of SrTm3Sn2.

a = 9.8337 Å, b = 9.8337 Å, c = 9.6970 Å
α = 117.63°, β = 117.63°, γ = 28.37°
With the nearest neighbours (Å) after each atom.
Sites, in units of the cell vectors:
Sr  0.1320  0.1320  0.1811  6 Sn 3.52-3.74
Sr  0.8680  0.8680  0.8189  6 Sn 3.52-3.74
Tm  0.0460  0.0460  0.7038  3 Sn 3.08-3.12, 2 Tm 3.42
Tm  0.3154  0.3154  0.0920  4 Sn 3.11-3.25, 5 Tm 3.31-3.42
Tm  0.4023  0.4023  0.4924  3 Sn 3.14-3.23, 5 Tm 3.42-3.49
Tm  0.5977  0.5977  0.5076  3 Sn 3.14-3.23, 5 Tm 3.42-3.49
Tm  0.6846  0.6846  0.9080  4 Sn 3.11-3.25, 5 Tm 3.31-3.42
Tm  0.9540  0.9540  0.2962  3 Sn 3.08-3.12, 2 Tm 3.42
Sn  0.2121  0.2121  0.7143  6 Tm 3.12-3.25
Sn  0.4888  0.4888  0.1411  1 Sn 2.97, 4 Tm 3.08-3.14
Sn  0.5112  0.5112  0.8589  1 Sn 2.97, 4 Tm 3.08-3.14
Sn  0.7879  0.7879  0.2857  6 Tm 3.12-3.25

Properties
Total magnetic moment   0.1651 μB/atom
Calculated density   7.060 g/cm³
Energy of formation from the pure elements   -0.40 eV/atom


Record 5
VASP calculation (PBE) on a relaxed structure of SrTmSn2.

a = 5.1094 Å, b = 5.1094 Å, c = 4.4434 Å
α = 90.00°, β = 90.00°, γ = 90.00°
With the nearest neighbours (Å) after each atom.
Sites, in units of the cell vectors:
Sr  0.0000  0.0000  0.0000  8 Sn 3.39, 4 Tm 3.61
Tm  0.5000  0.5000  0.0000  8 Sn 3.39, 4 Sr 3.61
Sn  0.0000  0.5000  0.5000  4 Tm 3.39, 4 Sr 3.39, 4 Sn 3.61
Sn  0.5000  0.0000  0.5000  4 Tm 3.39, 4 Sr 3.39, 4 Sn 3.61

Properties
Total magnetic moment   0.0000 μB/atom
Calculated density   7.071 g/cm³
Energy of formation from the pure elements   -0.49 eV/atom


Record 6
VASP calculation (PBE) on a relaxed structure of SrTmSn2.

a = 3.8743 Å, b = 3.8743 Å, c = 28.8105 Å
α = 90.00°, β = 90.00°, γ = 120.00°
With the nearest neighbours (Å) after each atom.
Sites, in units of the cell vectors:
Sr  0.0000  0.0000  0.0000  6 Sn 3.39
Sr  0.3333  0.6667  0.6667  6 Sn 3.39
Sr  0.6667  0.3333  0.3333  6 Sn 3.39
Tm  0.0000  0.0000  0.5000  6 Sn 3.17
Tm  0.3333  0.6667  0.1667  6 Sn 3.17
Tm  0.6667  0.3333  0.8333  6 Sn 3.17
Sn  0.0000  0.0000  0.2447  3 Tm 3.17, 3 Sr 3.39
Sn  0.0000  0.0000  0.7553  3 Tm 3.17, 3 Sr 3.39
Sn  0.3333  0.6667  0.4220  3 Tm 3.17, 3 Sr 3.39
Sn  0.3333  0.6667  0.9114  3 Tm 3.17, 3 Sr 3.39
Sn  0.6667  0.3333  0.0886  3 Tm 3.17, 3 Sr 3.39
Sn  0.6667  0.3333  0.5780  3 Tm 3.17, 3 Sr 3.39

Properties
Total magnetic moment   0.0000 μB/atom
Calculated density   6.571 g/cm³
Energy of formation from the pure elements   -0.43 eV/atom


Record 7
VASP calculation (PBE) on a relaxed structure of Sr3TmSn12.

a = 4.8158 Å, b = 4.8158 Å, c = 19.3166 Å
α = 90.00°, β = 90.00°, γ = 90.00°
With the nearest neighbours (Å) after each atom.
Sites, in units of the cell vectors:
Sr  0.0000  0.0000  0.0000  12 Sn 3.41-3.44
Sr  0.0000  0.0000  0.2553  12 Sn 3.41-3.46
Sr  0.0000  0.0000  0.7447  12 Sn 3.41-3.46
Tm  0.0000  0.0000  0.5000  12 Sn 3.31-3.41
Sn  0.0000  0.5000  0.1269  8 Sn 3.41-3.44, 4 Sr 3.44-3.46
Sn  0.0000  0.5000  0.3821  8 Sn 3.31-3.46, 2 Tm 3.31, 2 Sr 3.43
Sn  0.0000  0.5000  0.6179  8 Sn 3.31-3.46, 2 Tm 3.31, 2 Sr 3.43
Sn  0.0000  0.5000  0.8731  8 Sn 3.41-3.44, 4 Sr 3.44-3.46
Sn  0.5000  0.0000  0.1269  8 Sn 3.41-3.44, 4 Sr 3.44-3.46
Sn  0.5000  0.0000  0.3821  8 Sn 3.31-3.46, 2 Tm 3.31, 2 Sr 3.43
Sn  0.5000  0.0000  0.6179  8 Sn 3.31-3.46, 2 Tm 3.31, 2 Sr 3.43
Sn  0.5000  0.0000  0.8731  8 Sn 3.41-3.44, 4 Sr 3.44-3.46
Sn  0.5000  0.5000  0.0000  4 Sr 3.41, 8 Sn 3.44
Sn  0.5000  0.5000  0.2537  4 Sr 3.41, 8 Sn 3.43-3.46
Sn  0.5000  0.5000  0.5000  8 Sn 3.31, 4 Tm 3.41
Sn  0.5000  0.5000  0.7463  4 Sr 3.41, 8 Sn 3.43-3.46

Properties
Total magnetic moment   0.0000 μB/atom
Calculated density   6.881 g/cm³
Energy of formation from the pure elements   -0.39 eV/atom


Record 8
VASP calculation (PBE) on a relaxed structure of SrUSn6.

a = 4.7376 Å, b = 4.7376 Å, c = 9.5364 Å
α = 90.00°, β = 90.00°, γ = 90.00°
With the nearest neighbours (Å) after each atom.
Sites, in units of the cell vectors:
Sr  0.0000  0.0000  0.0000  12 Sn 3.35-3.43
U  0.0000  0.0000  0.5000  12 Sn 3.30-3.35
Sn  0.0000  0.5000  0.2594  8 Sn 3.30-3.43, 2 U 3.30, 2 Sr 3.43
Sn  0.0000  0.5000  0.7406  8 Sn 3.30-3.43, 2 U 3.30, 2 Sr 3.43
Sn  0.5000  0.0000  0.2594  8 Sn 3.30-3.43, 2 U 3.30, 2 Sr 3.43
Sn  0.5000  0.0000  0.7406  8 Sn 3.30-3.43, 2 U 3.30, 2 Sr 3.43
Sn  0.5000  0.5000  0.0000  4 Sr 3.35, 8 Sn 3.43
Sn  0.5000  0.5000  0.5000  8 Sn 3.30, 4 U 3.35

Properties
Total magnetic moment   0.3387 μB/atom
Calculated density   8.052 g/cm³
Energy of formation from the pure elements   -0.25 eV/atom


Record 9
VASP calculation (PBE) on a relaxed structure of SrVSn3.

a = 5.1977 Å, b = 5.1977 Å, c = 5.1977 Å
α = 90.00°, β = 90.00°, γ = 90.00°
With the nearest neighbours (Å) after each atom.
Sites, in units of the cell vectors:
Sr  0.0000  0.0000  0.0000  12 Sn 3.68
V  0.5000  0.5000  0.5000  6 Sn 2.60
Sn  0.0000  0.5000  0.5000  2 V 2.60
Sn  0.5000  0.0000  0.5000  2 V 2.60
Sn  0.5000  0.5000  0.0000  2 V 2.60

Properties
Total magnetic moment   0.0000 μB/atom
Calculated density   5.850 g/cm³
Energy above the most stable polymorph in this dataset   0 meV per atom
Energy of formation from the pure elements   -0.17 eV/atom


Record 10
VASP calculation (PBE) on a relaxed structure of Sr3VSn.

a = 6.3000 Å, b = 6.3000 Å, c = 6.3000 Å
α = 90.00°, β = 90.00°, γ = 90.00°
With the nearest neighbours (Å) after each atom.
Sites, in units of the cell vectors:
Sr  0.0000  0.0000  0.5000  2 Sn 3.15
Sr  0.0000  0.5000  0.0000  2 Sn 3.15
Sr  0.5000  0.0000  0.0000  2 Sn 3.15
V  0.5000  0.5000  0.5000  12 Sr 4.45
Sn  0.0000  0.0000  0.0000  6 Sr 3.15

Properties
Total magnetic moment   0.9725 μB/atom
Calculated density   2.872 g/cm³
Energy above the most stable polymorph in this dataset   0 meV per atom
Energy of formation from the pure elements   0.51 eV/atom


Record 11
VASP calculation (PBE) on a relaxed structure of SrV3Sn.

a = 4.6526 Å, b = 4.6526 Å, c = 4.6526 Å
α = 90.00°, β = 90.00°, γ = 90.00°
With the nearest neighbours (Å) after each atom.
Sites, in units of the cell vectors:
Sr  0.0000  0.0000  0.0000  6 V 2.33
V  0.0000  0.0000  0.5000  2 Sr 2.33
V  0.0000  0.5000  0.0000  2 Sr 2.33
V  0.5000  0.0000  0.0000  2 Sr 2.33
Sn  0.5000  0.5000  0.5000  12 V 3.29

Properties
Total magnetic moment   0.0011 μB/atom
Calculated density   5.922 g/cm³
Energy above the most stable polymorph in this dataset   1117 meV per atom
Energy of formation from the pure elements   2.21 eV/atom


Record 12
VASP calculation (PBE) on a relaxed structure of Sr2VSn4.

a = 5.1300 Å, b = 5.1300 Å, c = 16.7464 Å
α = 90.00°, β = 90.00°, γ = 90.00°
With the nearest neighbours (Å) after each atom.
Sites, in units of the cell vectors:
Sr  0.0000  0.0000  0.1459  9 Sn 3.27-3.63
Sr  0.0000  0.0000  0.8541  9 Sn 3.27-3.63
Sr  0.5000  0.5000  0.3541  9 Sn 3.27-3.63
Sr  0.5000  0.5000  0.6459  9 Sn 3.27-3.63
V  0.0000  0.0000  0.5000  6 Sn 2.56-2.66
V  0.5000  0.5000  0.0000  6 Sn 2.56-2.66
Sn  0.0000  0.0000  0.3411  1 V 2.66
Sn  0.0000  0.0000  0.6589  1 V 2.66
Sn  0.0000  0.5000  0.0000  2 V 2.56
Sn  0.0000  0.5000  0.5000  2 V 2.56
Sn  0.5000  0.0000  0.0000  2 V 2.56
Sn  0.5000  0.0000  0.5000  2 V 2.56
Sn  0.5000  0.5000  0.1589  1 V 2.66
Sn  0.5000  0.5000  0.8411  1 V 2.66

Properties
Total magnetic moment   0.0000 μB/atom
Calculated density   5.283 g/cm³
Energy of formation from the pure elements   -0.22 eV/atom


Look up the calculated density of the fourth one. 7.060 g/cm³


Which of these has the highest total magnetic moment? Sr3VSn


Which of these has the lowest energy of formation from the pure elements? number 3


The highest total magnetic moment belongs to which entry? Sr3VSn